1.
{"formula": "K2PdCl4", "functional": "PBE", "state": "relaxed", "relative_energy_ev_per_fu": 0.00, "lattice_angstrom": [[-1.912, -5.043, 4.705], [0.482, -4.968, -5.130], [4.025, -0.616, 0.975]], "species": ["K", "K", "Pd", "Cl", "Cl", "Cl", "Cl"], "fractional_positions": [[0.000, 0.500, 0.500], [0.500, 0.000, 0.500], [0.000, 0.000, 0.000], [0.231, 0.231, 0.000], [0.769, 0.769, 0.000], [0.231, 0.769, 0.000], [0.769, 0.231, 0.000]]}

***

2.
{"formula": "K2PdCl5", "functional": "PBE", "state": "relaxed", "total_energy_ev_per_fu": -26.1, "dos_at_fermi_per_ev_cell": 0.74, "lattice_angstrom": [[-5.720, 3.054, 3.305], [-4.147, -5.653, -1.953], [6.021, -0.825, 3.169]], "species": ["K", "K", "Pd", "Cl", "Cl", "Cl", "Cl", "Cl"], "fractional_positions": [[0.256, 0.756, 0.513], [0.756, 0.256, 0.513], [0.994, 0.994, 0.987], [0.785, 0.239, 0.024], [0.239, 0.239, 0.024], [0.785, 0.785, 0.024], [0.239, 0.785, 0.024], [0.723, 0.723, 0.445]]}

***

3.
{"formula": "KPd2Cl2", "functional": "PBE", "state": "relaxed", "relative_energy_ev_per_fu": 0.35, "dos_at_fermi_per_ev_cell": 3.51, "lattice_angstrom": [[-0.605, -5.100, 6.272], [1.077, -6.284, -5.006], [4.329, 0.248, 0.619]], "species": ["K", "K", "Pd", "Pd", "Pd", "Pd", "Cl", "Cl", "Cl", "Cl"], "fractional_positions": [[0.000, 0.000, 0.000], [0.500, 0.500, 0.000], [0.386, 0.886, 0.000], [0.886, 0.614, 0.000], [0.614, 0.114, 0.000], [0.114, 0.386, 0.000], [0.320, 0.820, 0.500], [0.820, 0.680, 0.500], [0.680, 0.180, 0.500], [0.180, 0.320, 0.500]]}

***

4.
{"formula": "KPdCl4", "functional": "PBE", "state": "relaxed", "relative_energy_ev_per_fu": 0.65, "dos_at_fermi_per_ev_cell": 6.97, "lattice_angstrom": [[-3.226, 1.251, 3.484], [-1.011, -7.442, -5.123], [5.192, -5.332, 6.721]], "species": ["K", "K", "Pd", "Pd", "Cl", "Cl", "Cl", "Cl", "Cl", "Cl", "Cl", "Cl"], "fractional_positions": [[0.724, 0.598, 0.750], [0.276, 0.402, 0.250], [0.787, 0.162, 0.750], [0.213, 0.838, 0.250], [0.483, 0.857, 0.750], [0.517, 0.143, 0.250], [0.269, 0.148, 0.750], [0.731, 0.852, 0.250], [0.992, 0.613, 0.092], [0.008, 0.387, 0.592], [0.992, 0.613, 0.408], [0.008, 0.387, 0.908]]}

***

5.
{"formula": "K3Pd2Cl7", "functional": "PBE", "state": "relaxed", "total_energy_ev_per_fu": -41.1, "dos_at_fermi_per_ev_cell": 2.07, "lattice_angstrom": [[-0.042, -4.983, -0.168], [0.855, -0.173, 4.909], [-12.916, 2.611, -0.190]], "species": ["K", "K", "K", "Pd", "Pd", "Cl", "Cl", "Cl", "Cl", "Cl", "Cl", "Cl"], "fractional_positions": [[0.320, 0.320, 0.639], [0.680, 0.680, 0.361], [0.500, 0.500, 0.000], [0.097, 0.097, 0.194], [0.903, 0.903, 0.806], [0.000, 0.000, 0.000], [0.904, 0.404, 0.809], [0.404, 0.904, 0.809], [0.096, 0.596, 0.191], [0.596, 0.096, 0.191], [0.195, 0.195, 0.390], [0.805, 0.805, 0.610]]}

***

6.
{"formula": "KPdCl6", "functional": "PBE", "state": "relaxed", "total_energy_ev_per_fu": -22.4, "dos_at_fermi_per_ev_cell": 5.74, "lattice_angstrom": [[6.133, 0.039, 0.234], [0.500, 6.112, 0.234], [2.183, 2.025, 6.412]], "species": ["K", "Pd", "Cl", "Cl", "Cl", "Cl", "Cl", "Cl"], "fractional_positions": [[0.500, 0.500, 0.500], [0.000, 0.000, 0.000], [0.056, 0.658, 0.259], [0.658, 0.056, 0.259], [0.342, 0.944, 0.741], [0.944, 0.342, 0.741], [0.215, 0.215, 0.092], [0.785, 0.785, 0.908]]}

***

7.
{"formula": "KPd4Cl12", "functional": "PBE", "state": "relaxed", "total_energy_ev_per_fu": -53.1, "dos_at_fermi_per_ev_cell": 11.09, "lattice_angstrom": [[-2.756, 2.257, -7.231], [-1.955, -7.706, 1.336], [-3.307, 4.639, 5.704]], "species": ["K", "Pd", "Pd", "Pd", "Pd", "Cl", "Cl", "Cl", "Cl", "Cl", "Cl", "Cl", "Cl", "Cl", "Cl", "Cl", "Cl"], "fractional_positions": [[0.000, 0.000, 0.000], [0.000, 0.500, 0.000], [0.500, 0.000, 0.000], [0.500, 0.500, 0.500], [0.000, 0.000, 0.500], [0.811, 0.302, 0.113], [0.302, 0.490, 0.189], [0.887, 0.189, 0.698], [0.302, 0.113, 0.811], [0.113, 0.811, 0.302], [0.698, 0.510, 0.811], [0.490, 0.189, 0.302], [0.510, 0.811, 0.698], [0.698, 0.887, 0.189], [0.811, 0.698, 0.510], [0.189, 0.302, 0.490], [0.189, 0.698, 0.887]]}

***

8.
{"formula": "K4Pd3Cl10", "functional": "PBE", "state": "relaxed", "total_energy_ev_per_fu": -58.3, "dos_at_fermi_per_ev_cell": 3.48, "lattice_angstrom": [[-4.347, -0.113, -2.448], [-2.411, -0.700, 4.312], [1.819, 17.844, 1.029]], "species": ["K", "K", "K", "K", "Pd", "Pd", "Pd", "Cl", "Cl", "Cl", "Cl", "Cl", "Cl", "Cl", "Cl", "Cl", "Cl"], "fractional_positions": [[0.569, 0.569, 0.137], [0.431, 0.431, 0.863], [0.301, 0.301, 0.601], [0.699, 0.699, 0.399], [0.141, 0.141, 0.281], [0.859, 0.859, 0.719], [0.000, 0.000, 0.000], [0.139, 0.639, 0.279], [0.072, 0.072, 0.144], [0.639, 0.139, 0.279], [0.861, 0.361, 0.721], [0.361, 0.861, 0.721], [0.928, 0.928, 0.856], [0.211, 0.211, 0.421], [0.789, 0.789, 0.579], [0.000, 0.500, 0.000], [0.500, 0.000, 0.000]]}